VASP calculation (PBE-GGA) on crystalline Dy4YMg7 at its relaxed geometry.

```
data_Dy4YMg7
_cell_length_a 5.2964
_cell_length_b 5.2964
_cell_length_c 13.2302
_cell_angle_alpha 90.00
_cell_angle_beta 90.00
_cell_angle_gamma 120.00
_symmetry_space_group_name_H-M 'P -3 m 1'
_symmetry_Int_Tables_number 164
_symmetry_space_group_name_Hall '-P 3 2"'
loop_
_atom_site_label
_atom_site_type_symbol
_atom_site_fract_x
_atom_site_fract_y
_atom_site_fract_z
Dy1 Dy 0.3333 0.6667 0.1625
Dy2 Dy 0.3333 0.6667 0.4214
Y1 Y 0.0000 0.0000 0.0000
Mg1 Mg 0.0000 0.0000 0.2621
Mg2 Mg 0.0000 0.0000 0.5000
Mg3 Mg 0.3333 0.6667 0.6819
Mg4 Mg 0.3333 0.6667 0.9175
```

Results
DOS at the Fermi energy	1.15	states/eV per atom
total magnetization	0.000	μB per atom
formation energy	-26.1	meV/atom